Material: LaCoOF2
Method: DFT, PBE with a Hubbard U
State: relaxed

Cell: 4.6967 4.6967 4.6023 Å, 90.00 90.00 90.00°
Closest atoms and distances in Å follow each position.
Sites, in units of the cell vectors:
Co 0.5000 0.5000 0.5000  8 F 3.29, 4 O 3.32
O 0.0000 0.0000 0.5000  2 La 2.30
F 0.5000 0.0000 0.0000  2 La 2.35
F 0.0000 0.5000 0.0000  2 La 2.35
La 0.0000 0.0000 0.0000  2 O 2.30, 4 F 2.35

Values from the calculation:
Total DFT energy (no corrections): -5.852 eV/atom
SG: No. 123